(P)
## Co2OF3 (PBEsol)

Data for a relaxed structure of Co2OF3. Values from VASP.

## Properties
space group: Imma
Fermi-level density of states: 0.985 states/eV per atom

Geometry as Quantum ESPRESSO input:
```
&SYSTEM
  ibrav = 0, nat = 12, ntyp = 3
/
ATOMIC_SPECIES
F 19.00 F.upf
Co 58.93 Co.upf
O 16.00 O.upf
CELL_PARAMETERS angstrom
5.446 -0.098 0.020
-2.147 5.006 -0.020
-1.872 -2.305 4.567
ATOMIC_POSITIONS angstrom
F -1.895 3.055 0.919
F 1.902 0.503 0.939
F -0.474 2.100 3.628
F -0.903 0.607 1.267
Co -0.936 -1.153 2.283
F -2.124 -0.354 3.628
Co 1.532 -1.030 4.391
Co 0.714 1.302 2.283
Co -0.104 3.633 0.176
F 2.331 1.996 3.300
O 0.921 2.944 1.491
O 0.507 -0.341 3.076
```

(Q)
## Co2OF3 (PBEsol)

Data for a relaxed structure of Co2OF3. Values from VASP.

## Properties
space group: C2/m
Fermi-level density of states: 1.061 states/eV per atom

Geometry as Quantum ESPRESSO input:
```
&SYSTEM
  ibrav = 0, nat = 24, ntyp = 3
/
ATOMIC_SPECIES
F 19.00 F.upf
O 16.00 O.upf
Co 58.93 Co.upf
CELL_PARAMETERS angstrom
-5.087 0.329 1.778
-1.435 -4.935 1.653
2.599 1.605 8.340
ATOMIC_POSITIONS angstrom
F -0.417 -0.419 5.455
O -2.995 -0.010 5.921
F -0.173 -1.711 2.880
O 1.131 0.574 8.873
F -2.325 -3.345 8.842
Co -1.961 -1.501 5.886
O -0.927 -2.991 5.850
F 1.806 1.097 6.571
F -1.598 0.344 2.929
F -2.544 -3.336 1.691
F -3.978 -1.270 1.740
Co -4.213 -3.029 4.462
F -2.631 -1.918 3.921
Co 0.290 0.028 7.309
F -5.729 -4.098 5.200
Co -2.003 -1.441 2.158
F -3.750 -1.290 8.891
Co -4.270 -3.154 8.094
Co 0.347 0.153 3.677
F -1.292 -1.083 7.850
Co -1.919 -1.560 9.613
O -5.054 -3.575 2.899
F -3.506 -2.582 6.316
Co 0.000 0.000 0.000
```

Most favorable structure: (P). The second most favorable one is 0.015 eV/atom above it.

(P)
## Co2O3F (PBEsol)

Data for a relaxed structure of Co2O3F. Values from VASP.

## Properties
space group: Cmce
Fermi-level density of states: 0.706 states/eV per atom

Geometry as Quantum ESPRESSO input:
```
&SYSTEM
  ibrav = 0, nat = 24, ntyp = 3
/
ATOMIC_SPECIES
O 16.00 O.upf
F 19.00 F.upf
Co 58.93 Co.upf
CELL_PARAMETERS angstrom
5.746 0.000 0.000
-2.873 5.951 0.000
0.000 0.000 6.254
ATOMIC_POSITIONS angstrom
O 4.309 2.654 1.564
O -1.436 3.296 4.691
F 2.873 4.444 2.921
F 2.873 1.507 6.048
Co 1.436 4.470 1.564
O 1.436 0.330 1.564
O 2.873 4.485 0.409
F 0.000 4.444 0.206
O 4.309 0.330 1.564
O -1.436 5.621 4.691
Co 0.000 1.493 1.397
Co 2.873 1.493 1.730
O 1.436 2.654 1.564
O 0.000 1.466 5.845
Co 2.873 4.457 4.857
O 0.000 4.485 2.718
O 1.436 5.621 4.691
Co 1.436 1.481 4.691
O 2.873 1.466 3.536
Co 0.000 4.457 4.525
Co 4.309 1.481 4.691
F 0.000 1.507 3.333
Co -1.436 4.470 1.564
O 1.436 3.296 4.691
```

(Q)
## Co2O3F (PBEsol)

Data for a relaxed structure of Co2O3F. Values from VASP.

## Properties
space group: Cmcm
Fermi-level density of states: 0.563 states/eV per atom

Geometry as Quantum ESPRESSO input:
```
&SYSTEM
  ibrav = 0, nat = 24, ntyp = 3
/
ATOMIC_SPECIES
O 16.00 O.upf
Co 58.93 Co.upf
F 19.00 F.upf
CELL_PARAMETERS angstrom
4.317 0.023 0.000
-0.250 4.310 0.000
0.000 0.000 11.440
ATOMIC_POSITIONS angstrom
O 1.303 1.254 8.580
O 2.898 2.953 8.580
Co 2.157 2.051 7.151
F 3.349 0.932 1.468
O 1.238 1.319 11.440
F 0.718 3.401 7.188
O 2.829 3.013 5.720
O 0.600 3.511 4.288
Co -0.250 4.310 5.720
O 2.764 3.079 2.860
Co -0.201 4.264 2.860
Co 4.268 0.069 8.580
F 3.349 0.931 4.253
F 0.718 3.401 9.973
O 1.169 1.379 2.860
Co 4.317 0.023 0.000
Co 2.156 2.051 10.009
O 2.828 3.014 11.440
Co 1.911 2.282 4.289
O 1.238 1.319 5.720
Co 1.910 2.282 1.431
O 3.467 0.821 7.153
O 3.466 0.821 10.008
O 0.600 3.512 1.432
```

Most favorable structure: (Q). The second most favorable one is 0.018 eV/atom above it.